## CsVZnF6 (GGA+U)

Data for CsVZnF6 after structural relaxation.

a b c (Å): 7.415 7.616 10.645
angles (deg): 90.00 90.00 90.00
Space group Imma (No. 74)
Unique sites:
Cs  0.000  0.250  0.119
V  0.000  0.000  0.500
Zn  0.250  0.250  0.750
F  0.000  0.250  0.436
F  0.000  0.250  0.822
F  0.189  0.049  0.623

Properties
Raw total energy ... -182.0 eV for the cell shown